1.
Material: ZrAgRh
Method: DFT, GGA-PBEsol
State: relaxed

Computed properties:
Crystal system: trigonal
Fermi-level density of states (states/eV per atom): 1.0156
Energy of formation from the pure elements (eV per formula unit): -0.109
Volume (Å³ per cell): 51

The structure in POSCAR format:
```
ZrAgRh
1.0
2.893 0.000 0.000
-1.447 2.506 0.000
0.000 0.000 6.993
Zr Ag Rh
1 1 1
direct
0.000 0.000 0.000
0.667 0.333 0.640
0.333 0.667 0.312
```



2.
Material: MgBPt2C
Method: DFT, GGA-PBEsol
State: relaxed

Computed properties:
Crystal system: tetragonal
Fermi-level density of states (states/eV per atom): 1.0404
Energy of formation from the pure elements (eV per formula unit): 12.512
Volume (Å³ per cell): 80

The structure in POSCAR format:
```
MgBPt2C
1.0
4.594 0.000 0.000
0.000 4.594 0.000
0.000 0.000 3.782
Mg B Pt C
1 1 2 1
direct
0.000 0.000 0.000
0.500 0.500 0.500
0.000 0.500 0.000
0.500 0.000 0.000
0.000 0.000 0.500
```



3.
Material: ZnFe6Re
Method: DFT, GGA-PBEsol
State: relaxed

Computed properties:
Crystal system: orthorhombic
Fermi-level density of states (states/eV per atom): 0.9346
Energy of formation from the pure elements (eV per formula unit): 0.513
Volume (Å³ per cell): 360

The structure in POSCAR format:
```
ZnFe6Re
1.0
3.549 -5.028 0.000
3.549 5.028 0.000
0.000 0.000 10.079
Zn Fe Re
4 24 4
direct
0.000 0.000 0.248
0.000 0.000 0.752
0.251 0.749 0.500
0.749 0.251 0.500
0.000 0.000 0.000
0.000 0.000 0.500
0.122 0.374 0.375
0.122 0.374 0.625
0.128 0.378 0.123
0.128 0.378 0.877
0.250 0.750 0.248
0.250 0.750 0.752
0.374 0.122 0.375
0.374 0.122 0.625
0.378 0.128 0.123
0.378 0.128 0.877
0.500 0.500 0.000
0.500 0.500 0.500
0.622 0.872 0.123
0.622 0.872 0.877
0.626 0.878 0.375
0.626 0.878 0.625
0.750 0.250 0.248
0.750 0.250 0.752
0.872 0.622 0.123
0.872 0.622 0.877
0.878 0.626 0.375
0.878 0.626 0.625
0.253 0.747 0.000
0.500 0.500 0.246
0.500 0.500 0.754
0.747 0.253 0.000
```



4.
Material: ErAgSe2
Method: DFT, GGA-PBEsol
State: relaxed

Computed properties:
Crystal system: tetragonal
E_form (uncorrected) (eV per atom): -1.093
Fermi-level density of states (states/eV per atom): 0.3359
Volume (Å³ per cell): 89

The structure in POSCAR format:
```
ErAgSe2
1.0
3.981 0.000 0.000
0.000 3.981 0.000
0.000 0.000 5.597
Er Ag Se
1 1 2
direct
0.000 0.000 0.000
0.500 0.500 0.500
0.000 0.000 0.500
0.500 0.500 0.000
```



5.
Material: Cr8Fe2CuNiS16
Method: DFT, GGA-PBEsol
State: relaxed

Computed properties:
Crystal system: trigonal
E_form (uncorrected) (eV per atom): -0.599
Fermi-level density of states (states/eV per atom): 0.6991
Volume (Å³ per cell): 450

The structure in POSCAR format:
```
Cr8Fe2CuNiS16
1.0
3.411 1.969 11.168
-3.411 1.969 11.168
0.000 -3.938 11.168
Cr Fe Cu Ni S
8 2 1 1 16
direct
0.000 0.000 0.000
0.239 0.239 0.757
0.239 0.757 0.239
0.255 0.743 0.743
0.497 0.497 0.497
0.743 0.255 0.743
0.743 0.743 0.255
0.757 0.239 0.239
0.309 0.309 0.309
0.809 0.809 0.809
0.185 0.185 0.185
0.684 0.684 0.684
0.112 0.112 0.641
0.112 0.641 0.112
0.118 0.118 0.118
0.137 0.611 0.611
0.364 0.876 0.876
0.375 0.375 0.375
0.383 0.383 0.852
0.383 0.852 0.383
0.611 0.137 0.611
0.611 0.611 0.137
0.620 0.620 0.620
0.641 0.112 0.112
0.852 0.383 0.383
0.875 0.875 0.875
0.876 0.364 0.876
0.876 0.876 0.364
```



6.
Material: DyAsO4
Method: DFT, GGA-PBEsol
State: relaxed

Computed properties:
Crystal system: tetragonal
E_form (uncorrected) (eV per atom): -2.410
Fermi-level density of states (states/eV per atom): 0.0000
Volume (Å³ per cell): 157

The structure in POSCAR format:
```
DyAsO4
1.0
-3.529 3.529 3.145
3.529 -3.529 3.145
3.529 3.529 -3.145
Dy As O
2 2 8
direct
0.375 0.625 0.750
0.625 0.375 0.250
0.125 0.875 0.250
0.875 0.125 0.750
0.129 0.697 0.433
0.236 0.303 0.933
0.303 0.236 0.433
0.303 0.871 0.067
0.697 0.129 0.933
0.697 0.764 0.567
0.764 0.697 0.067
0.871 0.303 0.567
```



| no. | electronic total energy (eV for the cell shown) |
| --- | --- |
| 1 | -20.6 |
| 2 | -19.8 |
| 3 | -272.7 |
| 4 | -20.3 |
| 5 | -197.3 |
| 6 | -91.1 |